# K4Ce3AgSe8

A relaxed K4Ce3AgSe8 crystal (PBE, the Alexandria database).

Volume, A^3/atom: 30.90
Crystal system: trigonal
Calculated density, g cm⁻³: 4.4
Energy relative to the elements, uncorrected, meV per atom: -1394.4

Cell lengths 8.5074, 8.5074, 7.8886 Å; angles 90.00, 90.00, 120.00 degrees
Space group P-3m1 (No. 164)
Inequivalent atoms, fractional coordinates:
K1 0.0000 0.0000 0.0000 x1
K2 0.0000 0.5000 0.0000 x3
Ce1 0.0000 0.5000 0.5000 x3
Ag1 0.0000 0.0000 0.5000 x1
Se1 0.1719 0.3439 0.2961 x6
Se2 0.3333 0.6667 0.7066 x2

---

# EuDy2In

A relaxed EuDy2In crystal (PBE, the Alexandria database).

Energy relative to the elements, eV per atom: -0.117
Volume, A^3/atom: 29.49
Crystal system: cubic
Calculated density, g cm⁻³: 8.3

Cell lengths 7.785, 7.785, 7.785 Å; angles 90.00, 90.00, 90.00 degrees
Space group Fm-3m (No. 225)
Inequivalent atoms, fractional coordinates:
Eu1 0.000 0.000 0.000 x4
Dy1 0.250 0.250 0.250 x8
In1 0.000 0.000 0.500 x4

---

# MnMo2Cl

A relaxed MnMo2Cl crystal (PBE, the Alexandria database).

Volume, A^3/atom: 16.23
Crystal system: tetragonal
Calculated density, g cm⁻³: 7.2
Energy relative to the elements, uncorrected, meV per atom: 857.0

Cell lengths 3.679, 3.679, 4.797 Å; angles 90.00, 90.00, 90.00 degrees
Space group P4/mmm (No. 123)
Inequivalent atoms, fractional coordinates:
Mn1 0.000 0.000 0.000 x1
Mo1 0.000 0.500 0.500 x2
Cl1 0.500 0.500 0.000 x1

---

# KAcBiI

A relaxed KAcBiI crystal (PBE, the Alexandria database).

Volume, A^3/atom: 37.02
Crystal system: cubic
Calculated density, g cm⁻³: 6.8
Energy relative to the elements, uncorrected, meV per atom: -887.7

Cell lengths 8.398, 8.398, 8.398 Å; angles 90.00, 90.00, 90.00 degrees
Space group F-43m (No. 216)
Inequivalent atoms, fractional coordinates:
K1 0.000 0.000 0.000 x4
Ac1 0.000 0.000 0.500 x4
Bi1 0.250 0.250 0.750 x4
I1 0.250 0.250 0.250 x4

---

# ZrFeBRh2

A relaxed ZrFeBRh2 crystal (PBE, the Alexandria database).

Energy relative to the elements, eV per atom: -0.544
Volume, A^3/atom: 13.53
Crystal system: tetragonal
Calculated density, g cm⁻³: 8.9

Cell lengths 4.111, 4.111, 4.003 Å; angles 90.00, 90.00, 90.00 degrees
Space group P4/mmm (No. 123)
Inequivalent atoms, fractional coordinates:
Zr1 0.000 0.000 0.000 x1
Fe1 0.500 0.500 0.000 x1
B1 0.500 0.500 0.500 x1
Rh1 0.000 0.500 0.500 x2

---

# Tb2Sn5Rh3

A relaxed Tb2Sn5Rh3 crystal (PBE, the Alexandria database).

Energy relative to the elements, eV per atom: -0.718
Volume, A^3/atom: 21.40
Crystal system: orthorhombic
Calculated density, g cm⁻³: 9.5

Cell lengths 4.475, 26.488, 7.222 Å; angles 90.00, 90.00, 90.00 degrees
Space group Cmc2_1 (No. 36)
Inequivalent atoms, fractional coordinates:
Tb1 0.000 0.024 0.000 x4
Tb2 0.000 0.328 0.018 x4
Sn1 0.000 0.097 0.372 x4
Sn2 0.000 0.206 0.810 x4
Sn3 0.000 0.209 0.238 x4
Sn4 0.000 0.380 0.496 x4
Sn5 0.000 0.452 0.163 x4
Rh1 0.000 0.106 0.746 x4
Rh2 0.000 0.278 0.525 x4
Rh3 0.000 0.450 0.779 x4

---

# LaZnW2

A relaxed LaZnW2 crystal (PBE, the Alexandria database).

Energy relative to the elements, eV per atom: 1.112
Volume, A^3/atom: 21.07
Crystal system: tetragonal
Calculated density, g cm⁻³: 11.3

Cell lengths 7.998, 7.998, 5.270 Å; angles 90.00, 90.00, 90.00 degrees
Space group I-42d (No. 122)
Inequivalent atoms, fractional coordinates:
La1 0.000 0.000 0.000 x4
Zn1 0.000 0.000 0.500 x4
W1 0.197 0.250 0.625 x8

---

# Pu3Al4Ga4

A relaxed Pu3Al4Ga4 crystal (PBE, the Alexandria database).

Energy relative to the elements, eV per atom: -0.277
Volume, A^3/atom: 20.08
Crystal system: orthorhombic
Calculated density, g cm⁻³: 8.4

Cell lengths 4.482, 6.876, 14.333 Å; angles 90.00, 90.00, 90.00 degrees
Space group Immm (No. 71)
Inequivalent atoms, fractional coordinates:
Pu1 0.000 0.000 0.000 x2
Pu2 0.000 0.500 0.123 x4
Al1 0.000 0.307 0.332 x8
Ga1 0.000 0.000 0.217 x4
Ga2 0.000 0.188 0.500 x4